The following is a DFT calculation (PBE) of a geometry-optimized CaScAg4 structure.

abc: 5.184 5.198 5.265
angles: 60.42 90.10 90.21
Fractional positions:
Ca  0.001  0.502  0.495
Ag  0.501  0.329  0.842
Ag  0.501  0.675  0.149
Ag  0.001  0.167  0.165
Ag  0.001  0.837  0.826
Sc  0.501  0.002  0.495

- ΔE to the lowest computed polymorph: 0.00 eV/f.u.
- Total energy: -3.524 eV per atom
- ΔH_f (0 K): -0.234 eV per atom